CdFeSi2 | PBE-GGA | optimized geometry

The structure belongs to space group R-3m (No. 166, hexagonal axes); the cell edges are 2.9298, 2.9298 and 24.4184 Å and the angles 90.00°, 90.00° and 120.00°. The inequivalent atoms are Cd at (0.0000, 0.0000, 0.0000), Fe at (0.0000, 0.0000, 0.5000) and Si at (0.0000, 0.0000, 0.2334).

The formation energy without anion corrections is 0.097 eV/atom. As for the mass density: 6.159 g/cm3.


La2Pr2ErCd5 | PBE-GGA | optimized geometry

The structure belongs to space group P4/mbm (No. 127); the cell edges are 10.8694, 10.8694 and 4.8758 Å and the angles 90.00°, 90.00° and 90.00°. The inequivalent atoms are La at (0.1746, 0.3254, 0.0000), Pr at (0.1268, 0.6268, 0.0000), Er at (0.0000, 0.0000, 0.0000), Cd at (0.0000, 0.5000, 0.5000) and Cd at (0.0655, 0.8125, 0.5000).

For the final energy, the calculation gives -3.04 eV/atom. As for the mass density: 7.431 g/cm3.


TaCrSi2 | PBE-GGA | optimized geometry

The structure belongs to space group C2/m (No. 12); the cell edges are 8.3616, 3.0369 and 4.5557 Å and the angles 90.00°, 101.79° and 90.00°. The inequivalent atoms are Ta at (0.0000, 0.0000, 0.0000), Cr at (0.0000, 0.5000, 0.5000) and Si at (0.2387, 0.0000, 0.7097).

The formation energy without anion corrections is -0.064 eV/atom. As for the mass density: 8.479 g/cm3.


PrMgCuPb | PBE-GGA | optimized geometry

The structure belongs to space group F-43m (No. 216); the cell edges are 7.3130, 7.3130 and 7.3130 Å and the angles 90.00°, 90.00° and 90.00°. The inequivalent atoms are Pr at (0.0000, 0.0000, 0.0000), Mg at (0.0000, 0.0000, 0.5000), Cu at (0.2500, 0.2500, 0.7500) and Pb at (0.2500, 0.2500, 0.2500).

For the final energy, the calculation gives -3.74 eV/atom. As for the mass density: 7.404 g/cm3.


LiUSe4 | PBE-GGA | optimized geometry

The structure belongs to space group P2_1/m (No. 11); the cell edges are 5.4189, 9.1849 and 7.2088 Å and the angles 90.00°, 101.75° and 90.00°. The inequivalent atoms are Li at (0.1513, 0.2500, 0.0483), U at (0.4621, 0.7500, 0.3384), Se at (0.0423, 0.2500, 0.6756), Se at (0.3478, 0.7500, 0.9584) and Se at (0.4910, 0.5626, 0.6568).

The formation energy without anion corrections is -0.791 eV/atom. As for the mass density: 5.302 g/cm3.


Pm2UBeRh6 | PBE-GGA | optimized geometry

The structure belongs to space group Fm-3m (No. 225); the cell edges are 9.1514, 9.1514 and 9.1514 Å and the angles 90.00°, 90.00° and 90.00°. The inequivalent atoms are Pm at (0.2500, 0.2500, 0.2500), U at (0.0000, 0.0000, 0.0000), Be at (0.0000, 0.0000, 0.5000) and Rh at (0.0000, 0.0000, 0.2669).

For the final energy, the calculation gives -7.27 eV/atom. As for the mass density: 10.005 g/cm3.